No. 1
VASP calculation (PBE) on a geometry-optimized Pm6TlGe2 structure.

Lattice parameters (Å, degrees): 8.2853 8.2853 4.3635 90.00 90.00 120.00
Space group P-62m (No. 189)
Inequivalent atoms, fractional coordinates:
Pm 0.0000 0.2828 0.0000 [3 per cell]
Pm 0.0000 0.5908 0.5000 [3 per cell]
Tl 0.0000 0.0000 0.5000 [1 per cell]
Ge 0.3333 0.6667 0.0000 [2 per cell]

Results
- E above lowest polymorph: 43.9 meV per atom
- Energy relative to the elements: -0.468 eV per atom

No. 2
VASP calculation (PBE) on a geometry-optimized Pm6Tl2Ge structure.

Lattice parameters (Å, degrees): 8.5616 8.5616 4.3184 90.00 90.00 120.00
Space group P-62m (No. 189)
Inequivalent atoms, fractional coordinates:
Pm 0.0000 0.3968 0.0000 [3 per cell]
Pm 0.0000 0.7459 0.5000 [3 per cell]
Tl 0.3333 0.6667 0.5000 [2 per cell]
Ge 0.0000 0.0000 0.0000 [1 per cell]

Results
- Energy relative to the elements: -0.384 eV per atom

No. 3
VASP calculation (PBE) on a geometry-optimized Pm3TlGe structure.

Lattice parameters (Å, degrees): 6.989 9.844 16.740 90.00 90.00 90.00
Space group Fmmm (No. 69)
Inequivalent atoms, fractional coordinates:
Pm 0.000 0.000 0.190 [8 per cell]
Pm 0.000 0.189 0.394 [16 per cell]
Tl 0.209 0.000 0.000 [8 per cell]
Ge 0.250 0.250 0.250 [8 per cell]

Results
- E above lowest polymorph: 20.2 meV per atom
- Energy relative to the elements: -0.466 eV per atom

No. 4
VASP calculation (PBE) on a geometry-optimized Pm6TlGe structure.

Lattice parameters (Å, degrees): 7.265 12.040 6.960 90.00 116.40 90.00
Space group C2/m (No. 12)
Inequivalent atoms, fractional coordinates:
Pm 0.212 0.198 0.247 [8 per cell]
Pm 0.237 0.000 0.766 [4 per cell]
Tl 0.000 0.500 0.500 [2 per cell]
Ge 0.000 0.000 0.000 [2 per cell]

Results
- Energy relative to the elements: -0.071 eV per atom

No. 5
VASP calculation (PBE) on a geometry-optimized Pm3TlGe structure.

Lattice parameters (Å, degrees): 4.720 7.229 9.082 90.00 90.00 90.00
Space group Pmmn (No. 59, origin choice 2)
Inequivalent atoms, fractional coordinates:
Pm 0.250 0.005 0.171 [4 per cell]
Pm 0.250 0.250 0.570 [2 per cell]
Tl 0.250 0.750 0.658 [2 per cell]
Ge 0.250 0.250 0.896 [2 per cell]

Results
- E above lowest polymorph: 0.0 meV per atom
- Energy relative to the elements: -0.487 eV per atom

No. 6
VASP calculation (PBE) on a geometry-optimized Pm2TlGe structure.

Lattice parameters (Å, degrees): 3.915 3.915 6.941 90.00 90.00 90.00
Space group P4/mmm (No. 123)
Inequivalent atoms, fractional coordinates:
Pm 0.000 0.000 0.223 [2 per cell]
Tl 0.500 0.500 0.500 [1 per cell]
Ge 0.500 0.500 0.000 [1 per cell]

Results
- Energy relative to the elements: -0.510 eV per atom

No. 7
VASP calculation (PBE) on a geometry-optimized Pm3TlGe3 structure.

Lattice parameters (Å, degrees): 8.8956 8.8956 6.0493 90.00 90.00 120.00
Space group P6_3/m (No. 176)
Inequivalent atoms, fractional coordinates:
Pm 0.0517 0.3610 0.2500 [6 per cell]
Tl 0.3333 0.6667 0.7500 [2 per cell]
Ge 0.0414 0.3484 0.7500 [6 per cell]

Results
- Energy relative to the elements: -0.508 eV per atom

No. 8
VASP calculation (PBE) on a geometry-optimized Pm7TlGe2 structure.

Lattice parameters (Å, degrees): 5.2453 5.2453 12.6980 90.00 90.00 120.00
Space group P3m1 (No. 156)
Inequivalent atoms, fractional coordinates:
Pm 0.0000 0.0000 0.0000 [1 per cell]
Pm 0.0000 0.0000 0.2593 [1 per cell]
Pm 0.0000 0.0000 0.5407 [1 per cell]
Pm 0.3333 0.6667 0.1301 [1 per cell]
Pm 0.3333 0.6667 0.7054 [1 per cell]
Pm 0.6667 0.3333 0.3699 [1 per cell]
Pm 0.6667 0.3333 0.8576 [1 per cell]
Tl 0.3333 0.6667 0.4242 [1 per cell]
Ge 0.0000 0.0000 0.7703 [1 per cell]
Ge 0.6667 0.3333 0.1125 [1 per cell]

Results
- Energy relative to the elements: -0.295 eV per atom

No. 9
VASP calculation (PBE) on a geometry-optimized Pm5TlGe3 structure.

Lattice parameters (Å, degrees): 9.1978 9.1978 6.5133 90.00 90.00 120.00
Space group P6_3/mcm (No. 193)
Inequivalent atoms, fractional coordinates:
Pm 0.0000 0.2935 0.2500 [6 per cell]
Pm 0.3333 0.6667 0.0000 [4 per cell]
Tl 0.0000 0.0000 0.0000 [2 per cell]
Ge 0.0000 0.3700 0.7500 [6 per cell]

Results
- Energy relative to the elements: -0.594 eV per atom

No. 10
VASP calculation (PBE) on a geometry-optimized Pm4TlGe3 structure.

Lattice parameters (Å, degrees): 4.160 4.494 11.281 90.00 90.00 90.00
Space group Pmm2 (No. 25)
Inequivalent atoms, fractional coordinates:
Pm 0.000 0.000 0.000 [1 per cell]
Pm 0.000 0.500 0.485 [1 per cell]
Pm 0.500 0.000 0.709 [1 per cell]
Pm 0.500 0.500 0.219 [1 per cell]
Tl 0.000 0.500 0.775 [1 per cell]
Ge 0.000 0.000 0.273 [1 per cell]
Ge 0.500 0.000 0.435 [1 per cell]
Ge 0.500 0.500 0.948 [1 per cell]

Results
- Energy relative to the elements: -0.713 eV per atom

No. 11
VASP calculation (PBE) on a geometry-optimized Pm5Tl2Ge structure.

Lattice parameters (Å, degrees): 7.065 13.115 5.136 90.00 90.00 90.00
Space group Pbam (No. 55)
Inequivalent atoms, fractional coordinates:
Pm 0.000 0.000 0.000 [2 per cell]
Pm 0.135 0.283 0.000 [4 per cell]
Pm 0.174 0.586 0.500 [4 per cell]
Tl 0.109 0.841 0.500 [4 per cell]
Ge 0.000 0.500 0.000 [2 per cell]

Results
- E above lowest polymorph: 0.0 meV per atom
- Energy relative to the elements: -0.431 eV per atom

No. 12
VASP calculation (PBE) on a geometry-optimized Pm5Tl2Ge structure.

Lattice parameters (Å, degrees): 11.578 7.041 6.939 90.00 126.74 90.00
Space group C2/m (No. 12)
Inequivalent atoms, fractional coordinates:
Pm 0.000 0.000 0.000 [2 per cell]
Pm 0.250 0.250 0.000 [4 per cell]
Pm 0.250 0.250 0.500 [4 per cell]
Tl 0.000 0.500 0.000 [2 per cell]
Tl 0.000 0.500 0.500 [2 per cell]
Ge 0.000 0.000 0.500 [2 per cell]

Results
- E above lowest polymorph: 122.2 meV per atom
- Energy relative to the elements: -0.309 eV per atom

No. 13
VASP calculation (PBE) on a geometry-optimized Pm3Tl2Ge structure.

Lattice parameters (Å, degrees): 8.046 11.708 7.994 90.00 102.56 90.00
Space group C2/m (No. 12)
Inequivalent atoms, fractional coordinates:
Pm 0.194 0.000 0.195 [4 per cell]
Pm 0.236 0.179 0.759 [8 per cell]
Tl 0.000 0.000 0.500 [2 per cell]
Tl 0.000 0.367 0.500 [4 per cell]
Tl 0.000 0.500 0.000 [2 per cell]
Ge 0.000 0.192 0.000 [4 per cell]

Results
- Energy relative to the elements: -0.418 eV per atom

No. 14
VASP calculation (PBE) on a geometry-optimized Pm4Tl5Ge2 structure.

Lattice parameters (Å, degrees): 8.009 4.055 9.417 90.00 94.18 90.00
Space group P2/m (No. 10)
Inequivalent atoms, fractional coordinates:
Pm 0.198 0.000 0.350 [2 per cell]
Pm 0.221 0.000 0.917 [2 per cell]
Tl 0.146 0.500 0.632 [2 per cell]
Tl 0.464 0.500 0.164 [2 per cell]
Tl 0.500 0.500 0.500 [1 per cell]
Ge 0.086 0.500 0.122 [2 per cell]

Results
- Energy relative to the elements: -0.433 eV per atom

No. 15
VASP calculation (PBE) on a geometry-optimized Pm2TlGe structure.

Lattice parameters (Å, degrees): 4.059 25.185 4.619 90.00 90.00 90.00
Space group Cmcm (No. 63)
Inequivalent atoms, fractional coordinates:
Pm 0.000 0.076 0.250 [4 per cell]
Pm 0.000 0.310 0.250 [4 per cell]
Tl 0.000 0.459 0.250 [4 per cell]
Ge 0.000 0.190 0.250 [4 per cell]

Results
- Energy relative to the elements: -0.531 eV per atom

No. 16
VASP calculation (PBE) on a geometry-optimized Pm6Tl6Ge structure.

Lattice parameters (Å, degrees): 6.6274 6.6274 10.6002 90.00 90.00 120.00
Space group P6/mmm (No. 191)
Inequivalent atoms, fractional coordinates:
Pm 0.0000 0.0000 0.2239 [2 per cell]
Pm 0.3333 0.6667 0.0000 [2 per cell]
Pm 0.3333 0.6667 0.5000 [2 per cell]
Tl 0.0000 0.5000 0.2469 [6 per cell]
Ge 0.0000 0.0000 0.5000 [1 per cell]

Results
- Energy relative to the elements: -0.219 eV per atom

No. 17
VASP calculation (PBE) on a geometry-optimized Pm2TlGe structure.

Lattice parameters (Å, degrees): 4.2669 4.2669 23.2566 90.00 90.00 120.00
Space group R-3m (No. 166, hexagonal axes)
Inequivalent atoms, fractional coordinates:
Pm 0.0000 0.0000 0.2361 [6 per cell]
Tl 0.0000 0.0000 0.0000 [3 per cell]
Ge 0.0000 0.0000 0.5000 [3 per cell]

Results
- Energy relative to the elements: -0.505 eV per atom

No. 18
VASP calculation (PBE) on a geometry-optimized Pm12TlGe7 structure.

Lattice parameters (Å, degrees): 10.937 10.937 10.937 90.00 90.00 90.00
Space group Im-3 (No. 204)
Inequivalent atoms, fractional coordinates:
Pm 0.000 0.301 0.183 [24 per cell]
Tl 0.000 0.000 0.000 [2 per cell]
Ge 0.000 0.000 0.500 [6 per cell]
Ge 0.250 0.250 0.250 [8 per cell]

Results
- Energy relative to the elements: -0.438 eV per atom

No. 19
VASP calculation (PBE) on a geometry-optimized Pm6TlGe2 structure.

Lattice parameters (Å, degrees): 9.883 10.124 10.566 90.00 90.00 90.00
Space group Immm (No. 71)
Inequivalent atoms, fractional coordinates:
Pm 0.000 0.203 0.247 [8 per cell]
Pm 0.205 0.500 0.175 [8 per cell]
Pm 0.225 0.318 0.500 [8 per cell]
Tl 0.000 0.000 0.000 [2 per cell]
Tl 0.000 0.000 0.500 [2 per cell]
Ge 0.000 0.360 0.000 [4 per cell]
Ge 0.000 0.500 0.380 [4 per cell]

Results
- E above lowest polymorph: 0.0 meV per atom
- Energy relative to the elements: -0.512 eV per atom

No. 20
VASP calculation (PBE) on a geometry-optimized Pm4TlGe2 structure.

Lattice parameters (Å, degrees): 13.056 13.110 9.251 90.00 90.00 90.00
Space group Fdd2 (No. 43)
Inequivalent atoms, fractional coordinates:
Pm 0.053 0.378 0.000 [16 per cell]
Pm 0.123 0.053 0.132 [16 per cell]
Tl 0.000 0.000 0.816 [8 per cell]
Ge 0.060 0.310 0.691 [16 per cell]

Results
- Energy relative to the elements: -0.618 eV per atom

No. 21
VASP calculation (PBE) on a geometry-optimized PmTmTlGe structure.

Lattice parameters (Å, degrees): 7.431 7.431 7.431 90.00 90.00 90.00
Space group F-43m (No. 216)
Inequivalent atoms, fractional coordinates:
Pm 0.000 0.000 0.000 [4 per cell]
Tm 0.000 0.000 0.500 [4 per cell]
Tl 0.250 0.250 0.750 [4 per cell]
Ge 0.250 0.250 0.250 [4 per cell]

Results
- Energy relative to the elements: -0.415 eV per atom

No. 22
VASP calculation (PBE) on a geometry-optimized PmYTlGe structure.

Lattice parameters (Å, degrees): 7.474 7.474 7.474 90.00 90.00 90.00
Space group F-43m (No. 216)
Inequivalent atoms, fractional coordinates:
Pm 0.000 0.000 0.000 [4 per cell]
Y 0.000 0.000 0.500 [4 per cell]
Tl 0.250 0.250 0.750 [4 per cell]
Ge 0.250 0.250 0.250 [4 per cell]

Results
- Energy relative to the elements: -0.452 eV per atom